No. 1
A geometry-optimized ZnInAs2 structure. Source: Alexandria, functional PBE.

a b c (Å): 3.9922 3.9922 6.0853
angles (deg): 111.32 111.32 77.86
Closest atoms and distances in Å follow each position.
Fractional coordinates of all 4 atoms:
Zn  0.0000  0.0000  0.0000  6 As 2.62-2.82
In  0.0000  0.0000  0.5000  6 As 2.89-3.07, 2 Zn 3.04
As  0.4764  0.4764  0.1993  1 As 2.58, 3 Zn 2.62-2.82
As  0.5236  0.5236  0.8007  1 As 2.58, 3 Zn 2.62-2.82

Computed properties:
The calculated volume is 20.96 Å³/atom. The formation enthalpy at 0 K comes out at 13 meV/atom. The value obtained for the total energy is -13.258 eV for the cell shown.

=====

No. 2
A geometry-optimized AlSbCl2 structure. Source: Alexandria, functional PBE.

a b c (Å): 3.4475 3.4475 8.5763
angles (deg): 90.00 90.00 90.00
Closest atoms and distances in Å follow each position.
Fractional coordinates of all 4 atoms:
Al  0.0000  0.0000  0.0000  4 Cl 2.83, 4 Sb 3.06
Sb  0.5000  0.5000  0.7844  5 Cl 2.99-3.28, 4 Al 3.06
Cl  0.0000  0.0000  0.5823  4 Sb 2.99
Cl  0.5000  0.5000  0.1668  4 Al 2.83

Computed properties:
The calculated volume is 25.48 Å³/atom. For the formation energy (no corrections), the calculation gives -0.27 eV/atom. The relative energy among the computed polymorphs comes out at 36.5 kJ per mole of atoms. The value obtained for the total energy is -12.632 eV for the cell shown.

=====

No. 3
A geometry-optimized FeIrRu2 structure. Source: Alexandria, functional PBE.

a b c (Å): 2.6692 2.6692 8.9646
angles (deg): 90.00 90.00 117.95
Closest atoms and distances in Å follow each position.
Fractional coordinates of all 4 atoms:
Fe  0.0000  0.0000  0.0000  2 Ru 2.56, 2 Ir 2.57, 6 Fe 2.67-2.75
Ir  0.5000  0.5000  0.7577  2 Fe 2.57, 6 Ir 2.67-2.75, 2 Ru 2.73
Ru  0.0000  0.0000  0.4947  8 Ru 2.66-2.75, 2 Ir 2.73
Ru  0.5000  0.5000  0.2411  2 Fe 2.56, 8 Ru 2.66-2.75

Computed properties:
The calculated volume is 14.11 Å³/atom. The formation enthalpy at 0 K comes out at 329 meV/atom. The relative energy among the computed polymorphs comes out at 31.7 kJ per mole of atoms. The value obtained for the total energy is -34.560 eV for the cell shown.

=====

No. 4
A geometry-optimized GaCI2 structure. Source: Alexandria, functional PBE.

a b c (Å): 7.8463 7.8463 7.8463
angles (deg): 129.51 129.51 74.19
Closest atoms and distances in Å follow each position.
Fractional coordinates of all 8 atoms:
Ga  0.0000  0.0000  0.0000  4 I 3.46
Ga  0.7500  0.2500  0.5000  4 I 3.46
C  0.2500  0.7500  0.5000  4 I 2.41
C  0.5000  0.5000  0.0000  4 I 2.41
I  0.2621  0.6250  0.1371  2 C 2.41
I  0.3750  0.5121  0.6371  2 C 2.41
I  0.4879  0.1250  0.8629  2 C 2.41
I  0.8750  0.7379  0.3629  2 C 2.41

Computed properties:
The calculated volume is 35.04 Å³/atom. For the formation energy (no corrections), the calculation gives 1.21 eV/atom. The relative energy among the computed polymorphs comes out at 0.0 kJ per mole of atoms. The value obtained for the total energy is -21.013 eV for the cell shown.

=====

No. 5
A geometry-optimized SrLaTl2 structure. Source: Alexandria, functional PBE.

a b c (Å): 3.9942 3.9942 8.2451
angles (deg): 90.00 90.00 90.00
Closest atoms and distances in Å follow each position.
Fractional coordinates of all 4 atoms:
Sr  0.0000  0.0000  0.0000  8 Tl 3.53
La  0.0000  0.0000  0.5000  8 Tl 3.46
Tl  0.5000  0.5000  0.2573  4 La 3.46, 4 Sr 3.53
Tl  0.5000  0.5000  0.7427  4 La 3.46, 4 Sr 3.53

Computed properties:
The calculated volume is 32.88 Å³/atom. The formation enthalpy at 0 K comes out at -422 meV/atom. The value obtained for the total energy is -13.031 eV for the cell shown.

=====

No. 6
A geometry-optimized SmRu2C structure. Source: Alexandria, functional PBE.

a b c (Å): 5.0234 5.0234 5.0234
angles (deg): 58.23 58.23 58.23
Closest atoms and distances in Å follow each position.
Fractional coordinates of all 4 atoms:
Sm  0.0000  0.0000  0.0000  6 Ru 2.84
Ru  0.3563  0.3563  0.3563  1 C 1.79
Ru  0.6437  0.6437  0.6437  1 C 1.79
C  0.5000  0.5000  0.5000  2 Ru 1.79

Computed properties:
The calculated volume is 21.50 Å³/atom. The formation enthalpy at 0 K comes out at 624 meV/atom. The relative energy among the computed polymorphs comes out at 56.4 kJ per mole of atoms. The value obtained for the total energy is -29.997 eV for the cell shown.